Here is an optimized crystal structure of Zr2BeHgIr from the Alexandria database. Energies are from PBE-GGA.

Cell lengths 5.2388, 5.2388, 4.0964 Å; angles 90.00, 90.00, 90.00 degrees
With the nearest neighbours (Å) after each atom.
Fractional positions:
Zr  0.0000  0.5000  0.0000  2 Hg 2.62
Zr  0.5000  0.0000  0.0000  2 Hg 2.62
Be  0.0000  0.0000  0.5000  2 Hg 2.05
Hg  0.0000  0.0000  0.0000  2 Be 2.05
Ir  0.5000  0.5000  0.5000  8 Zr 3.33, 4 Be 3.70

Electronic total energy in eV/atom: -4.96
E_form in eV per atom: 1.04
Calculated volume in A^3/atom: 22.49